Entry from the Alexandria database: a relaxed KNaMgBi2 crystal (PBE-GGA). Values from VASP.

Values from the calculation:
- space-group type = P4/mmm
- E (eV/cell) = -12.06
- energy of formation (meV/atom) = -56.5

Structure (Quantum ESPRESSO input):
```
&SYSTEM
  ibrav = 0, nat = 5, ntyp = 4
/
ATOMIC_SPECIES
K 39.10 K.upf
Na 22.99 Na.upf
Mg 24.30 Mg.upf
Bi 208.98 Bi.upf
ATOMIC_POSITIONS angstrom
K 0.000 0.000 0.000
Na 2.841 2.841 0.000
Mg 2.841 2.841 2.914
Bi 0.000 2.841 2.914
Bi 2.841 0.000 2.914
CELL_PARAMETERS angstrom
5.682 0.000 0.000
0.000 5.682 0.000
0.000 0.000 5.828
```

Entry from the Alexandria database: a relaxed TbPr4In4 crystal (PBE-GGA). Values from VASP.

Values from the calculation:
- space-group type = P4_2/nmc
- E (eV/cell) = -71.56
- energy of formation (meV/atom) = -119.9

Structure (Quantum ESPRESSO input):
```
&SYSTEM
  ibrav = 0, nat = 18, ntyp = 3
/
ATOMIC_SPECIES
Tb 158.93 Tb.upf
Pr 140.91 Pr.upf
In 114.82 In.upf
ATOMIC_POSITIONS angstrom
Tb 1.824 5.472 2.739
Tb 5.472 1.824 8.217
Pr 0.203 1.824 1.954
Pr 1.824 0.203 7.432
Pr 1.824 3.445 7.432
Pr 3.445 1.824 1.954
Pr 3.851 5.472 9.001
Pr 5.472 3.851 3.523
Pr 5.472 7.093 3.523
Pr 7.093 5.472 9.001
In 0.028 1.824 5.297
In 1.824 0.028 10.774
In 1.824 3.620 10.774
In 3.620 1.824 5.297
In 3.676 5.472 5.659
In 5.472 3.676 0.181
In 5.472 7.267 0.181
In 7.267 5.472 5.659
CELL_PARAMETERS angstrom
7.295 0.000 0.000
0.000 7.295 0.000
0.000 0.000 10.955
```

Entry from the Alexandria database: a relaxed CsLaSe2 crystal (PBE-GGA). Values from VASP.

Values from the calculation:
- space-group type = P4/mmm
- energy relative to the elements, uncorrected (eV per atom) = -1.336
- E (eV/cell) = -18.09

Structure (Quantum ESPRESSO input):
```
&SYSTEM
  ibrav = 0, nat = 4, ntyp = 3
/
ATOMIC_SPECIES
Cs 132.91 Cs.upf
La 138.91 La.upf
Se 78.96 Se.upf
ATOMIC_POSITIONS angstrom
Cs 0.000 0.000 0.000
La 2.356 2.356 3.205
Se 0.000 0.000 3.205
Se 2.356 2.356 0.000
CELL_PARAMETERS angstrom
4.712 0.000 0.000
0.000 4.712 0.000
0.000 0.000 6.409
```